1.
# GaO PBE relaxed
data_GaO
_chemical_formula_sum 'Ga4 O4'
_cell_length_a 5.984
_cell_length_b 5.044
_cell_length_c 4.946
_cell_angle_alpha 73.59
_cell_angle_beta 53.96
_cell_angle_gamma 52.45
_space_group_name_H-M_alt 'P 1'
_space_group_IT_number 1
_space_group_name_Hall 'P 1'
loop_
_atom_site_label
_atom_site_type_symbol
_atom_site_fract_x
_atom_site_fract_y
_atom_site_fract_z
_atom_site_occupancy
Ga1 Ga 0.110 0.640 0.640 1
Ga2 Ga 0.360 0.890 0.890 1
Ga3 Ga 0.640 0.110 0.110 1
Ga4 Ga 0.890 0.360 0.360 1
O1 O 0.211 0.539 0.211 1
O2 O 0.461 0.789 0.461 1
O3 O 0.539 0.211 0.539 1
O4 O 0.789 0.461 0.789 1
# Total DFT energy (no corrections)   -5.272 eV per atom
# SG   Fddd, No. 70
# Magnetic moment   0.00 μB per formula unit
# ΔE_f (raw)   -1.280 eV/atom
# Energy above the lowest structure with this stoichiometry   296.0 meV/atom

2.
# Ga2O3 PBE relaxed
data_Ga2O3
_chemical_formula_sum 'Ga4 O6'
_cell_length_a 5.562
_cell_length_b 5.562
_cell_length_c 5.498
_cell_angle_alpha 113.70
_cell_angle_beta 113.70
_cell_angle_gamma 64.40
_space_group_name_H-M_alt 'P 1'
_space_group_IT_number 1
_space_group_name_Hall 'P 1'
loop_
_atom_site_label
_atom_site_type_symbol
_atom_site_fract_x
_atom_site_fract_y
_atom_site_fract_z
_atom_site_occupancy
Ga1 Ga 0.075 0.260 0.084 1
Ga2 Ga 0.260 0.075 0.584 1
Ga3 Ga 0.740 0.925 0.416 1
Ga4 Ga 0.925 0.740 0.916 1
O1 O 0.046 0.954 0.750 1
O2 O 0.197 0.391 0.878 1
O3 O 0.391 0.197 0.378 1
O4 O 0.609 0.803 0.622 1
O5 O 0.803 0.609 0.122 1
O6 O 0.954 0.046 0.250 1
# Total DFT energy (no corrections)   -5.929 eV per atom
# SG   C2/c, No. 15
# Magnetic moment   0.00 μB per formula unit
# ΔE_f (raw)   -1.744 eV/atom

3.
# GaO PBE relaxed
data_GaO
_chemical_formula_sum 'Ga6 O6'
_cell_length_a 3.168
_cell_length_b 10.045
_cell_length_c 5.447
_cell_angle_alpha 90.00
_cell_angle_beta 90.00
_cell_angle_gamma 90.00
_space_group_name_H-M_alt 'P 1'
_space_group_IT_number 1
_space_group_name_Hall 'P 1'
loop_
_atom_site_label
_atom_site_type_symbol
_atom_site_fract_x
_atom_site_fract_y
_atom_site_fract_z
_atom_site_occupancy
Ga1 Ga 0.000 0.000 0.000 1
Ga2 Ga 0.000 0.177 0.490 1
Ga3 Ga 0.000 0.823 0.490 1
Ga4 Ga 0.500 0.323 0.990 1
Ga5 Ga 0.500 0.500 0.500 1
Ga6 Ga 0.500 0.677 0.990 1
O1 O 0.000 0.000 0.379 1
O2 O 0.000 0.258 0.152 1
O3 O 0.000 0.742 0.152 1
O4 O 0.500 0.242 0.652 1
O5 O 0.500 0.500 0.879 1
O6 O 0.500 0.758 0.652 1
# Total DFT energy (no corrections)   -5.296 eV per atom
# SG   Imm2, No. 44
# Magnetic moment   0.00 μB per formula unit
# ΔE_f (raw)   -1.304 eV/atom
# Energy above the lowest structure with this stoichiometry   271.8 meV/atom

4.
# GaO PBE relaxed
data_GaO
_chemical_formula_sum 'Ga6 O6'
_cell_length_a 3.133
_cell_length_b 10.916
_cell_length_c 4.428
_cell_angle_alpha 90.00
_cell_angle_beta 90.00
_cell_angle_gamma 90.00
_space_group_name_H-M_alt 'P 1'
_space_group_IT_number 1
_space_group_name_Hall 'P 1'
loop_
_atom_site_label
_atom_site_type_symbol
_atom_site_fract_x
_atom_site_fract_y
_atom_site_fract_z
_atom_site_occupancy
Ga1 Ga 0.250 0.059 0.200 1
Ga2 Ga 0.250 0.441 0.200 1
Ga3 Ga 0.250 0.750 0.283 1
Ga4 Ga 0.750 0.250 0.717 1
Ga5 Ga 0.750 0.559 0.800 1
Ga6 Ga 0.750 0.941 0.800 1
O1 O 0.250 0.250 0.963 1
O2 O 0.250 0.609 0.531 1
O3 O 0.250 0.891 0.531 1
O4 O 0.750 0.109 0.469 1
O5 O 0.750 0.391 0.469 1
O6 O 0.750 0.750 0.037 1
# Total DFT energy (no corrections)   -5.391 eV per atom
# SG   Pmmn, No. 59
# Magnetic moment   0.00 μB per formula unit
# ΔE_f (raw)   -1.399 eV/atom
# Energy above the lowest structure with this stoichiometry   176.9 meV/atom

5.
# Ga2O3 PBE relaxed
data_Ga2O3
_chemical_formula_sum 'Ga4 O6'
_cell_length_a 6.413
_cell_length_b 6.413
_cell_length_c 5.875
_cell_angle_alpha 103.28
_cell_angle_beta 103.28
_cell_angle_gamma 27.81
_space_group_name_H-M_alt 'P 1'
_space_group_IT_number 1
_space_group_name_Hall 'P 1'
loop_
_atom_site_label
_atom_site_type_symbol
_atom_site_fract_x
_atom_site_fract_y
_atom_site_fract_z
_atom_site_occupancy
Ga1 Ga 0.090 0.090 0.295 1
Ga2 Ga 0.342 0.342 0.186 1
Ga3 Ga 0.658 0.658 0.814 1
Ga4 Ga 0.910 0.910 0.705 1
O1 O 0.163 0.163 0.609 1
O2 O 0.174 0.174 0.064 1
O3 O 0.496 0.496 0.757 1
O4 O 0.504 0.504 0.243 1
O5 O 0.826 0.826 0.936 1
O6 O 0.837 0.837 0.391 1
# Total DFT energy (no corrections)   -6.035 eV per atom
# SG   C2/m, No. 12
# Magnetic moment   0.00 μB per formula unit
# ΔE_f (raw)   -1.850 eV/atom

6.
# GaO PBE relaxed
data_GaO
_chemical_formula_sum 'Ga6 O6'
_cell_length_a 5.965
_cell_length_b 5.965
_cell_length_c 5.965
_cell_angle_alpha 90.00
_cell_angle_beta 90.00
_cell_angle_gamma 90.00
_space_group_name_H-M_alt 'P 1'
_space_group_IT_number 1
_space_group_name_Hall 'P 1'
loop_
_atom_site_label
_atom_site_type_symbol
_atom_site_fract_x
_atom_site_fract_y
_atom_site_fract_z
_atom_site_occupancy
Ga1 Ga 0.000 0.250 0.500 1
Ga2 Ga 0.000 0.750 0.500 1
Ga3 Ga 0.250 0.500 0.000 1
Ga4 Ga 0.500 0.000 0.250 1
Ga5 Ga 0.500 0.000 0.750 1
Ga6 Ga 0.750 0.500 0.000 1
O1 O 0.000 0.500 0.250 1
O2 O 0.000 0.500 0.750 1
O3 O 0.250 0.000 0.500 1
O4 O 0.500 0.250 0.000 1
O5 O 0.500 0.750 0.000 1
O6 O 0.750 0.000 0.500 1
# Total DFT energy (no corrections)   -4.939 eV per atom
# SG   Pm-3n, No. 223
# Magnetic moment   0.00 μB per formula unit
# ΔE_f (raw)   -0.947 eV/atom
# Energy above the lowest structure with this stoichiometry   628.9 meV/atom

7.
# GaO PBE relaxed
data_GaO
_chemical_formula_sum 'Ga2 O2'
_cell_length_a 3.121
_cell_length_b 3.838
_cell_length_c 4.582
_cell_angle_alpha 90.00
_cell_angle_beta 90.00
_cell_angle_gamma 90.00
_space_group_name_H-M_alt 'P 1'
_space_group_IT_number 1
_space_group_name_Hall 'P 1'
loop_
_atom_site_label
_atom_site_type_symbol
_atom_site_fract_x
_atom_site_fract_y
_atom_site_fract_z
_atom_site_occupancy
Ga1 Ga 0.000 0.000 0.000 1
Ga2 Ga 0.500 0.500 0.500 1
O1 O 0.000 0.500 0.789 1
O2 O 0.500 0.000 0.289 1
# Total DFT energy (no corrections)   -5.020 eV per atom
# SG   Imm2, No. 44
# Magnetic moment   0.00 μB per formula unit
# ΔE_f (raw)   -1.028 eV/atom
# Energy above the lowest structure with this stoichiometry   547.9 meV/atom

8.
# GaO PBE relaxed
data_GaO
_chemical_formula_sum 'Ga4 O4'
_cell_length_a 5.938
_cell_length_b 3.440
_cell_length_c 5.450
_cell_angle_alpha 90.00
_cell_angle_beta 111.34
_cell_angle_gamma 90.00
_space_group_name_H-M_alt 'P 1'
_space_group_IT_number 1
_space_group_name_Hall 'P 1'
loop_
_atom_site_label
_atom_site_type_symbol
_atom_site_fract_x
_atom_site_fract_y
_atom_site_fract_z
_atom_site_occupancy
Ga1 Ga 0.082 0.000 0.245 1
Ga2 Ga 0.418 0.500 0.755 1
Ga3 Ga 0.582 0.500 0.245 1
Ga4 Ga 0.918 0.000 0.755 1
O1 O 0.221 0.000 0.663 1
O2 O 0.279 0.500 0.337 1
O3 O 0.721 0.500 0.663 1
O4 O 0.779 0.000 0.337 1
# Total DFT energy (no corrections)   -5.394 eV per atom
# SG   C2/m, No. 12
# Magnetic moment   0.00 μB per formula unit
# ΔE_f (raw)   -1.402 eV/atom
# Energy above the lowest structure with this stoichiometry   173.9 meV/atom